{"formula": "NaTi2I", "functional": "PBE-GGA", "state": "optimized geometry", "lattice_angstrom": [[0.000, 3.437, 3.437], [3.437, 0.000, 3.437], [3.437, 3.437, 0.000]], "species": ["Na", "Ti", "Ti", "I"], "frac_coords": [[0.000, 0.000, 0.000], [0.250, 0.250, 0.250], [0.750, 0.750, 0.750], [0.500, 0.500, 0.500]], "mass_density_g_cm3": 5.0, "e_form_raw_ev_per_atom": 0.74, "spacegroup": "Fm-3m", "e_above_lowest_polymorph_mev_per_atom": 50}

=====

{"formula": "ScTaHg2", "functional": "PBE-GGA", "state": "optimized geometry", "lattice_angstrom": [[1.575, 0.910, 9.738], [-1.575, 0.910, 9.738], [0.000, -1.819, 9.738]], "species": ["Sc", "Ta", "Hg", "Hg"], "frac_coords": [[0.000, 0.000, 0.000], [0.500, 0.500, 0.500], [0.250, 0.250, 0.250], [0.750, 0.750, 0.750]], "ef_mev_per_atom": 157, "mass_density_g_cm3": 12.4, "spacegroup": "R-3m", "e_above_lowest_polymorph_mev_per_atom": 112}

=====

{"formula": "NdAl2Ag3", "functional": "PBE-GGA", "state": "optimized geometry", "lattice_angstrom": [[5.119, -4.336, 0.000], [5.119, 4.336, 0.000], [0.000, 0.000, 5.549]], "species": ["Nd", "Nd", "Al", "Al", "Al", "Al", "Ag", "Ag", "Ag", "Ag", "Ag", "Ag"], "frac_coords": [[0.169, 0.831, 0.750], [0.831, 0.169, 0.250], [0.280, 0.280, 0.000], [0.280, 0.280, 0.500], [0.720, 0.720, 0.000], [0.720, 0.720, 0.500], [0.044, 0.607, 0.250], [0.393, 0.956, 0.250], [0.462, 0.538, 0.250], [0.538, 0.462, 0.750], [0.607, 0.044, 0.750], [0.956, 0.393, 0.750]], "ef_mev_per_atom": -248, "mass_density_g_cm3": 7.0, "spacegroup": "Cmcm"}

=====

{"formula": "ScWCl2", "functional": "PBE-GGA", "state": "optimized geometry", "lattice_angstrom": [[2.924, 0.000, 0.000], [0.000, 3.863, 0.000], [0.000, 0.000, 6.038]], "species": ["Sc", "W", "Cl", "Cl"], "frac_coords": [[0.000, 0.000, 0.000], [0.000, 0.000, 0.500], [0.500, 0.500, 0.247], [0.500, 0.500, 0.753]], "mass_density_g_cm3": 7.3, "e_form_raw_ev_per_atom": 0.47, "spacegroup": "Pmmm", "e_above_lowest_polymorph_mev_per_atom": 941}

=====

{"formula": "AsOF2", "functional": "PBE-GGA", "state": "optimized geometry", "lattice_angstrom": [[-1.742, 1.742, 7.370], [1.742, -1.742, 7.370], [1.742, 1.742, -7.370]], "species": ["As", "As", "O", "O", "F", "F", "F", "F"], "frac_coords": [[0.000, 0.000, 0.000], [0.750, 0.250, 0.500], [0.250, 0.750, 0.500], [0.500, 0.500, 0.000], [0.093, 0.625, 0.968], [0.375, 0.343, 0.468], [0.657, 0.125, 0.032], [0.875, 0.907, 0.532]], "mass_density_g_cm3": 4.8, "e_form_raw_ev_per_atom": -0.64, "spacegroup": "I-42d", "e_above_lowest_polymorph_mev_per_atom": 979}

=====

{"formula": "Tb3Mg2In", "functional": "PBE-GGA", "state": "optimized geometry", "lattice_angstrom": [[3.804, 0.000, 0.000], [0.000, 3.804, 0.000], [0.000, 0.000, 11.309]], "species": ["Tb", "Tb", "Tb", "Mg", "Mg", "In"], "frac_coords": [[0.000, 0.000, 0.000], [0.000, 0.000, 0.333], [0.000, 0.000, 0.667], [0.500, 0.500, 0.165], [0.500, 0.500, 0.835], [0.500, 0.500, 0.500]], "ef_mev_per_atom": -224, "mass_density_g_cm3": 6.5, "spacegroup": "P4/mmm"}